# HfMoAsW2 | the Alexandria database | PBE-GGA | optimized geometry
# DOS at the Fermi energy (states/eV/f.u.): 5.95
# Magnetization (μB/f.u.): 0.0
# Formation enthalpy at 0 K (kJ/mol of atoms): 125
data_HfMoAsW2
_cell_length_a 4.564
_cell_length_b 4.564
_cell_length_c 4.814
_cell_angle_alpha 90.00
_cell_angle_beta 90.00
_cell_angle_gamma 90.00
_symmetry_space_group_name_H-M 'P 4/m m m'
_symmetry_Int_Tables_number 123
_symmetry_space_group_name_Hall '-P 4 2'
loop_
_atom_site_label
_atom_site_fract_x
_atom_site_fract_y
_atom_site_fract_z
Hf1 0.000 0.000 0.000
Mo1 0.500 0.500 0.000
As1 0.000 0.000 0.500
W1 0.000 0.500 0.500

***

# Hf4As3N2 | the Alexandria database | PBE-GGA | optimized geometry
# DOS at the Fermi energy (states/eV/f.u.): 2.61
# Uncorrected formation energy (eV/atom): -1.170
# Magnetization (μB/f.u.): 0.0
data_Hf4As3N2
_cell_length_a 12.219
_cell_length_b 3.643
_cell_length_c 8.261
_cell_angle_alpha 90.00
_cell_angle_beta 122.05
_cell_angle_gamma 90.00
_symmetry_space_group_name_H-M 'C 1 2/m 1'
_symmetry_Int_Tables_number 12
loop_
_symmetry_equiv_pos_as_xyz
'x,y,z'
'-x,-y,-z'
'-x,y,-z'
'x,-y,z'
'x+1/2,y+1/2,z'
'-x+1/2,-y+1/2,-z'
'-x+1/2,y+1/2,-z'
'x+1/2,-y+1/2,z'
loop_
_atom_site_label
_atom_site_fract_x
_atom_site_fract_y
_atom_site_fract_z
Hf1 0.116 0.000 0.413
Hf2 0.184 0.500 0.114
As1 0.000 0.000 0.000
As2 0.114 0.500 0.719
N1 0.185 0.500 0.366